--- a ---
## CaLa2MgTc (GGA-PBE)

Data for an optimized crystal structure of CaLa2MgTc.

a b c (Å): 5.399 5.399 5.580
angles (deg): 90.00 90.00 90.00
Sites, in units of the cell vectors:
Ca  0.000  0.000  0.000
La  0.000  0.500  0.500
La  0.500  0.000  0.500
Mg  0.500  0.500  0.000
Tc  0.500  0.500  0.500

Total magnetic moment, μB per cell: 0.00
Symmetry: P4/mmm, No. 123



--- b ---
## CaLa2MgTc (GGA-PBE)

Data for an optimized crystal structure of CaLa2MgTc.

a b c (Å): 5.369 5.369 5.851
angles (deg): 90.00 90.00 90.00
Sites, in units of the cell vectors:
Ca  0.000  0.000  0.000
La  0.000  0.500  0.500
La  0.500  0.000  0.500
Mg  0.500  0.500  0.000
Tc  0.000  0.000  0.500

Total magnetic moment, μB per cell: 0.00
Symmetry: P4/mmm, No. 123



Most stable: a (next structure +0.031 eV/atom)